(1)
## HoTe2Pd (PBE-GGA)

Data for a relaxed structure of HoTe2Pd. Values from VASP.

```
&SYSTEM
  ibrav = 0, nat = 4, ntyp = 3
/
ATOMIC_SPECIES
Ho 164.93 Ho.upf
Te 127.60 Te.upf
Pd 106.42 Pd.upf
ATOMIC_POSITIONS crystal
Ho 0.0000 0.0000 0.0000
Te 0.1111 0.1111 0.1111
Te 0.8889 0.8889 0.8889
Pd 0.5000 0.5000 0.5000
CELL_PARAMETERS angstrom
1.9715 1.1382 8.9973
-1.9715 1.1382 8.9973
0.0000 -2.2765 8.9973
```

Values from the calculation:
uncorrected formation energy	-237	meV/atom
Fermi-level density of states	3.377	states/eV/cell
uncorrected energy	-4.25	eV/atom
ΔE to the lowest computed polymorph	0.503	eV/atom
magnetic moment	0.000	μB/atom

(2)
## Ho6Te2Pd (PBE-GGA)

Data for a relaxed structure of Ho6Te2Pd. Values from VASP.

```
&SYSTEM
  ibrav = 0, nat = 18, ntyp = 3
/
ATOMIC_SPECIES
Ho 164.93 Ho.upf
Te 127.60 Te.upf
Pd 106.42 Pd.upf
ATOMIC_POSITIONS crystal
Ho 0.0834 0.2008 0.4563
Ho 0.0834 0.2992 0.9563
Ho 0.3237 0.6708 0.4565
Ho 0.3237 0.8292 0.9565
Ho 0.3838 0.0288 0.2428
Ho 0.3838 0.4712 0.7428
Ho 0.6162 0.5288 0.2572
Ho 0.6162 0.9712 0.7572
Ho 0.6763 0.1708 0.0435
Ho 0.6763 0.3292 0.5435
Ho 0.9166 0.7008 0.0437
Ho 0.9166 0.7992 0.5437
Te 0.1410 0.1138 0.7418
Te 0.1410 0.3862 0.2418
Te 0.8590 0.6138 0.7582
Te 0.8590 0.8862 0.2582
Pd 0.5000 0.0000 0.5000
Pd 0.5000 0.5000 0.0000
CELL_PARAMETERS angstrom
6.3483 0.0000 0.0000
0.0000 7.8489 0.0000
-5.9800 0.0000 10.1508
```

Values from the calculation:
uncorrected formation energy	-699	meV/atom
Fermi-level density of states	17.000	states/eV/cell
uncorrected energy	-5.03	eV/atom
magnetic moment	0.000	μB/atom

(3)
## Ho5Te5Pd (PBE-GGA)

Data for a relaxed structure of Ho5Te5Pd. Values from VASP.

```
&SYSTEM
  ibrav = 0, nat = 11, ntyp = 3
/
ATOMIC_SPECIES
Ho 164.93 Ho.upf
Te 127.60 Te.upf
Pd 106.42 Pd.upf
ATOMIC_POSITIONS crystal
Ho 0.0000 0.0000 0.0000
Ho 0.3457 0.3457 0.6834
Ho 0.3474 0.3474 0.1555
Ho 0.6526 0.6526 0.8445
Ho 0.6543 0.6543 0.3166
Te 0.1656 0.1656 0.8264
Te 0.1805 0.1805 0.3336
Te 0.5000 0.5000 0.5000
Te 0.8195 0.8195 0.6664
Te 0.8344 0.8344 0.1736
Pd 0.5000 0.5000 0.0000
CELL_PARAMETERS angstrom
6.8485 -3.0619 0.0000
6.8485 3.0619 0.0000
-2.7721 0.0000 8.0919
```

Values from the calculation:
uncorrected formation energy	-1207	meV/atom
Fermi-level density of states	10.372	states/eV/cell
uncorrected energy	-5.19	eV/atom
magnetic moment	0.002	μB/atom

(4)
## HoTePd6 (PBE-GGA)

Data for a relaxed structure of HoTePd6. Values from VASP.

```
&SYSTEM
  ibrav = 0, nat = 8, ntyp = 3
/
ATOMIC_SPECIES
Ho 164.93 Ho.upf
Te 127.60 Te.upf
Pd 106.42 Pd.upf
ATOMIC_POSITIONS crystal
Ho 0.0000 0.0000 0.0000
Te 0.0000 0.0000 0.5000
Pd 0.0000 0.5000 0.2527
Pd 0.0000 0.5000 0.7473
Pd 0.5000 0.0000 0.2527
Pd 0.5000 0.0000 0.7473
Pd 0.5000 0.5000 0.0000
Pd 0.5000 0.5000 0.5000
CELL_PARAMETERS angstrom
4.0953 0.0000 0.0000
0.0000 4.0953 0.0000
0.0000 0.0000 8.2068
```

Values from the calculation:
uncorrected formation energy	-536	meV/atom
Fermi-level density of states	4.440	states/eV/cell
uncorrected energy	-5.40	eV/atom
magnetic moment	0.000	μB/atom

(5)
## Ho5TePd2 (PBE-GGA)

Data for a relaxed structure of Ho5TePd2. Values from VASP.

```
&SYSTEM
  ibrav = 0, nat = 16, ntyp = 3
/
ATOMIC_SPECIES
Ho 164.93 Ho.upf
Te 127.60 Te.upf
Pd 106.42 Pd.upf
ATOMIC_POSITIONS crystal
Ho 0.0000 0.0000 0.0000
Ho 0.0131 0.5131 0.8089
Ho 0.2042 0.0131 0.5000
Ho 0.2958 0.7958 0.8089
Ho 0.4869 0.2958 0.5000
Ho 0.5000 0.5000 0.0000
Ho 0.5131 0.7042 0.5000
Ho 0.7042 0.2042 0.1911
Ho 0.7958 0.9869 0.5000
Ho 0.9869 0.4869 0.1911
Te 0.2500 0.2500 0.0000
Te 0.7500 0.7500 0.0000
Pd 0.1377 0.3623 0.5000
Pd 0.3623 0.8623 0.2246
Pd 0.6377 0.1377 0.7754
Pd 0.8623 0.6377 0.5000
CELL_PARAMETERS angstrom
-3.8961 3.8961 6.7064
3.8961 -3.8961 6.7064
3.8961 3.8961 -6.7064
```

Values from the calculation:
uncorrected formation energy	-797	meV/atom
Fermi-level density of states	10.610	states/eV/cell
uncorrected energy	-5.35	eV/atom
magnetic moment	0.000	μB/atom

(6)
## Ho4TePd (PBE-GGA)

Data for a relaxed structure of Ho4TePd. Values from VASP.

```
&SYSTEM
  ibrav = 0, nat = 24, ntyp = 3
/
ATOMIC_SPECIES
Ho 164.93 Ho.upf
Te 127.60 Te.upf
Pd 106.42 Pd.upf
ATOMIC_POSITIONS crystal
Ho 0.0163 0.2500 0.0694
Ho 0.0436 0.7500 0.2170
Ho 0.1348 0.7500 0.6539
Ho 0.1451 0.7500 0.4470
Ho 0.3549 0.2500 0.9470
Ho 0.3652 0.2500 0.1539
Ho 0.4564 0.2500 0.7170
Ho 0.4837 0.7500 0.5694
Ho 0.5163 0.2500 0.4306
Ho 0.5436 0.7500 0.2830
Ho 0.6348 0.7500 0.8461
Ho 0.6451 0.7500 0.0530
Ho 0.8549 0.2500 0.5530
Ho 0.8652 0.2500 0.3461
Ho 0.9564 0.2500 0.7830
Ho 0.9837 0.7500 0.9306
Te 0.2444 0.2500 0.3143
Te 0.2556 0.7500 0.8143
Te 0.7444 0.2500 0.1857
Te 0.7556 0.7500 0.6857
Pd 0.2275 0.2500 0.5513
Pd 0.2725 0.7500 0.0513
Pd 0.7275 0.2500 0.9487
Pd 0.7725 0.7500 0.4487
CELL_PARAMETERS angstrom
8.3139 0.0000 0.0000
0.0000 3.9100 0.0000
0.0000 0.0000 19.5628
```

Values from the calculation:
uncorrected formation energy	-746	meV/atom
Fermi-level density of states	25.305	states/eV/cell
uncorrected energy	-5.19	eV/atom
ΔE to the lowest computed polymorph	0.000	eV/atom
magnetic moment	0.000	μB/atom

(7)
## Ho5Te2Pd2 (PBE-GGA)

Data for a relaxed structure of Ho5Te2Pd2. Values from VASP.

```
&SYSTEM
  ibrav = 0, nat = 18, ntyp = 3
/
ATOMIC_SPECIES
Ho 164.93 Ho.upf
Te 127.60 Te.upf
Pd 106.42 Pd.upf
ATOMIC_POSITIONS crystal
Ho 0.0000 0.0000 0.0000
Ho 0.0376 0.7176 0.6592
Ho 0.2176 0.5376 0.1592
Ho 0.2824 0.9624 0.6592
Ho 0.4624 0.7824 0.1592
Ho 0.5000 0.5000 0.5000
Ho 0.5376 0.2176 0.8408
Ho 0.7176 0.0376 0.3408
Ho 0.7824 0.4624 0.8408
Ho 0.9624 0.2824 0.3408
Te 0.2075 0.2075 0.0000
Te 0.2925 0.2925 0.5000
Te 0.7075 0.7075 0.5000
Te 0.7925 0.7925 0.0000
Pd 0.1372 0.8628 0.3661
Pd 0.3628 0.6372 0.8661
Pd 0.6372 0.3628 0.1339
Pd 0.8628 0.1372 0.6339
CELL_PARAMETERS angstrom
7.8053 -3.8890 0.0000
7.8053 3.8890 0.0000
0.0000 0.0000 7.7558
```

Values from the calculation:
uncorrected formation energy	-990	meV/atom
Fermi-level density of states	16.793	states/eV/cell
uncorrected energy	-5.38	eV/atom
magnetic moment	0.000	μB/atom

(8)
## Ho4Te3Pd (PBE-GGA)

Data for a relaxed structure of Ho4Te3Pd. Values from VASP.

```
&SYSTEM
  ibrav = 0, nat = 8, ntyp = 3
/
ATOMIC_SPECIES
Ho 164.93 Ho.upf
Te 127.60 Te.upf
Pd 106.42 Pd.upf
ATOMIC_POSITIONS crystal
Ho 0.2156 0.2156 0.5000
Ho 0.2370 0.7630 0.0000
Ho 0.7630 0.2370 0.0000
Ho 0.7844 0.7844 0.5000
Te 0.0000 0.5000 0.5000
Te 0.5000 0.0000 0.5000
Te 0.5000 0.5000 0.0000
Pd 0.0000 0.0000 0.0000
CELL_PARAMETERS angstrom
4.4174 -6.1153 0.0000
4.4174 6.1153 0.0000
0.0000 0.0000 4.1780
```

Values from the calculation:
uncorrected formation energy	-1156	meV/atom
Fermi-level density of states	4.969	states/eV/cell
uncorrected energy	-5.27	eV/atom
magnetic moment	0.000	μB/atom

(9)
## Ho2Te3Pd (PBE-GGA)

Data for a relaxed structure of Ho2Te3Pd. Values from VASP.

```
&SYSTEM
  ibrav = 0, nat = 24, ntyp = 3
/
ATOMIC_SPECIES
Ho 164.93 Ho.upf
Te 127.60 Te.upf
Pd 106.42 Pd.upf
ATOMIC_POSITIONS crystal
Ho 0.0371 0.2500 0.1904
Ho 0.2076 0.2500 0.4791
Ho 0.2924 0.7500 0.9791
Ho 0.4629 0.7500 0.6904
Ho 0.5371 0.2500 0.3096
Ho 0.7076 0.2500 0.0209
Ho 0.7924 0.7500 0.5209
Ho 0.9629 0.7500 0.8096
Te 0.0424 0.7500 0.3811
Te 0.1123 0.2500 0.9372
Te 0.1888 0.7500 0.6727
Te 0.3112 0.2500 0.1727
Te 0.3877 0.7500 0.4372
Te 0.4576 0.2500 0.8811
Te 0.5424 0.7500 0.1189
Te 0.6123 0.2500 0.5628
Te 0.6888 0.7500 0.8273
Te 0.8112 0.2500 0.3273
Te 0.8877 0.7500 0.0628
Te 0.9576 0.2500 0.6189
Pd 0.2100 0.7500 0.2455
Pd 0.2900 0.2500 0.7455
Pd 0.7100 0.7500 0.2545
Pd 0.7900 0.2500 0.7545
CELL_PARAMETERS angstrom
12.5246 0.0000 0.0000
0.0000 4.3010 0.0000
0.0000 0.0000 11.8486
```

Values from the calculation:
uncorrected formation energy	-1166	meV/atom
Fermi-level density of states	0.547	states/eV/cell
uncorrected energy	-5.13	eV/atom
magnetic moment	0.000	μB/atom

(10)
## Ho3TePd (PBE-GGA)

Data for a relaxed structure of Ho3TePd. Values from VASP.

```
&SYSTEM
  ibrav = 0, nat = 10, ntyp = 3
/
ATOMIC_SPECIES
Ho 164.93 Ho.upf
Te 127.60 Te.upf
Pd 106.42 Pd.upf
ATOMIC_POSITIONS crystal
Ho 0.0565 0.0565 0.3900
Ho 0.2476 0.2476 0.3351
Ho 0.4012 0.4012 0.0384
Ho 0.5988 0.5988 0.9616
Ho 0.7524 0.7524 0.6649
Ho 0.9435 0.9435 0.6100
Te 0.1631 0.1631 0.7891
Te 0.8369 0.8369 0.2109
Pd 0.3867 0.3867 0.7234
Pd 0.6133 0.6133 0.2766
CELL_PARAMETERS angstrom
8.3562 -2.0954 0.0000
8.3562 2.0954 0.0000
-5.1760 0.0000 8.1078
```

Values from the calculation:
uncorrected formation energy	-736	meV/atom
Fermi-level density of states	7.650	states/eV/cell
uncorrected energy	-5.15	eV/atom
ΔE to the lowest computed polymorph	0.059	eV/atom
magnetic moment	0.000	μB/atom

Copy entry 6 word for word.
## Ho4TePd (PBE-GGA)

Data for a relaxed structure of Ho4TePd. Values from VASP.

```
&SYSTEM
  ibrav = 0, nat = 24, ntyp = 3
/
ATOMIC_SPECIES
Ho 164.93 Ho.upf
Te 127.60 Te.upf
Pd 106.42 Pd.upf
ATOMIC_POSITIONS crystal
Ho 0.0163 0.2500 0.0694
Ho 0.0436 0.7500 0.2170
Ho 0.1348 0.7500 0.6539
Ho 0.1451 0.7500 0.4470
Ho 0.3549 0.2500 0.9470
Ho 0.3652 0.2500 0.1539
Ho 0.4564 0.2500 0.7170
Ho 0.4837 0.7500 0.5694
Ho 0.5163 0.2500 0.4306
Ho 0.5436 0.7500 0.2830
Ho 0.6348 0.7500 0.8461
Ho 0.6451 0.7500 0.0530
Ho 0.8549 0.2500 0.5530
Ho 0.8652 0.2500 0.3461
Ho 0.9564 0.2500 0.7830
Ho 0.9837 0.7500 0.9306
Te 0.2444 0.2500 0.3143
Te 0.2556 0.7500 0.8143
Te 0.7444 0.2500 0.1857
Te 0.7556 0.7500 0.6857
Pd 0.2275 0.2500 0.5513
Pd 0.2725 0.7500 0.0513
Pd 0.7275 0.2500 0.9487
Pd 0.7725 0.7500 0.4487
CELL_PARAMETERS angstrom
8.3139 0.0000 0.0000
0.0000 3.9100 0.0000
0.0000 0.0000 19.5628
```

Values from the calculation:
uncorrected formation energy	-746	meV/atom
Fermi-level density of states	25.305	states/eV/cell
uncorrected energy	-5.19	eV/atom
ΔE to the lowest computed polymorph	0.000	eV/atom
magnetic moment	0.000	μB/atom

What did the first record say?
## HoTe2Pd (PBE-GGA)

Data for a relaxed structure of HoTe2Pd. Values from VASP.

```
&SYSTEM
  ibrav = 0, nat = 4, ntyp = 3
/
ATOMIC_SPECIES
Ho 164.93 Ho.upf
Te 127.60 Te.upf
Pd 106.42 Pd.upf
ATOMIC_POSITIONS crystal
Ho 0.0000 0.0000 0.0000
Te 0.1111 0.1111 0.1111
Te 0.8889 0.8889 0.8889
Pd 0.5000 0.5000 0.5000
CELL_PARAMETERS angstrom
1.9715 1.1382 8.9973
-1.9715 1.1382 8.9973
0.0000 -2.2765 8.9973
```

Values from the calculation:
uncorrected formation energy	-237	meV/atom
Fermi-level density of states	3.377	states/eV/cell
uncorrected energy	-4.25	eV/atom
ΔE to the lowest computed polymorph	0.503	eV/atom
magnetic moment	0.000	μB/atom

> Which of these has the highest Fermi-level density of states?

Ho4TePd

> Which of these has the lowest uncorrected formation energy?

Ho5Te5Pd